DyErCoRu, relaxed, DFT PBE; total magnetic moment = 0.096 μB per atom; E_form = -0.27 eV per atom; VASP energy = -6.66 eV/atom; mass density = 10.77 g cm⁻³
1.0
3.372 0.000 0.000
0.000 3.372 0.000
0.000 0.000 6.644
Dy Er Co Ru
1 1 1 1
Cartesian
1.686 1.686 0.699
1.686 1.686 4.044
0.000 0.000 5.679
0.000 0.000 2.387


DyErCoRu, relaxed, DFT PBE; total magnetic moment = 0.000 μB per atom; E_form = -0.27 eV per atom; VASP energy = -6.66 eV/atom; mass density = 10.77 g cm⁻³
1.0
-1.851 -0.147 4.366
-4.523 -1.291 0.617
-1.022 -4.177 2.003
Ru Dy Co Er
1 1 1 1
Cartesian
-5.547 -4.212 5.240
-3.698 -2.808 3.493
-1.849 -1.404 1.747
0.000 0.000 0.000


DyErTlCo, relaxed, DFT PBE; total magnetic moment = 0.313 μB per atom; E_form = -0.13 eV per atom; VASP energy = -4.79 eV/atom; polymorph energy (0 for the lowest one) = 130 meV per atom; mass density = 10.61 g cm⁻³
1.0
-4.351 0.183 2.619
-2.687 -4.246 0.763
-0.257 -2.044 4.646
Tl Dy Co Er
1 1 1 1
Cartesian
0.000 0.000 0.000
-1.824 -1.527 2.007
-3.648 -3.053 4.014
-5.471 -4.580 6.021


DyErTlCo, relaxed, DFT PBE; total magnetic moment = 0.123 μB per atom; E_form = -0.26 eV per atom; VASP energy = -4.92 eV/atom; polymorph energy (0 for the lowest one) = 0 meV per atom; mass density = 10.80 g cm⁻³
1.0
3.386 0.000 0.000
0.000 3.386 0.000
0.000 0.000 7.956
Dy Er Tl Co
1 1 1 1
Cartesian
1.693 1.693 6.165
1.693 1.693 2.928
0.000 0.000 0.588
0.000 0.000 4.518


DyErZnCo, relaxed, DFT PBE; total magnetic moment = 0.000 μB per atom; E_form = -0.25 eV per atom; VASP energy = -4.63 eV/atom; polymorph energy (0 for the lowest one) = 0 meV per atom; mass density = 8.90 g cm⁻³
1.0
3.824 0.000 0.000
0.000 4.225 0.000
-1.912 0.000 5.243
Dy Er Zn Co
1 1 1 1
Cartesian
0.000 0.000 1.483
1.912 2.113 3.767
1.912 2.113 0.691
0.000 0.000 4.544


DyErZnCo, relaxed, DFT PBE; total magnetic moment = 0.000 μB per atom; E_form = -0.24 eV per atom; VASP energy = -4.63 eV/atom; polymorph energy (0 for the lowest one) = 3 meV per atom; mass density = 9.37 g cm⁻³
1.0
4.846 0.000 0.000
2.423 4.197 0.000
2.423 1.399 3.957
Zn Dy Co Er
1 1 1 1
Cartesian
0.000 0.000 0.000
7.269 4.197 2.967
4.846 2.798 1.978
2.423 1.399 0.989


EuDyCo4, relaxed, DFT PBE; total magnetic moment = 0.376 μB per atom; E_form = -0.06 eV per atom; VASP energy = -7.27 eV/atom; mass density = 9.64 g cm⁻³
1.0
-5.078 0.006 -0.634
-2.571 -4.424 -0.110
-3.066 -1.276 3.894
Eu Co Dy
1 4 1
Cartesian
0.000 0.000 0.000
-5.165 -2.920 0.027
-5.412 -1.352 2.022
-6.692 -3.556 1.967
-4.162 -3.559 2.283
-2.679 -1.423 0.787


EuDy3Co, relaxed, DFT PBE; total magnetic moment = 1.511 μB per atom; E_form = -0.05 eV per atom; VASP energy = -6.29 eV/atom; mass density = 7.63 g cm⁻³
1.0
-5.002 -0.788 -1.687
-1.263 -2.116 4.735
-1.368 4.837 1.797
Eu Co Dy
1 1 3
Cartesian
-3.817 0.966 2.422
0.000 0.000 0.000
-0.632 -1.058 2.367
-0.684 2.418 0.898
-2.501 -0.394 -0.843


Among the records above, which one has the lowest mass density? EuDy3Co


Number 7 is which compound? EuDyCo4